Below is Zn2B2Ir3 after structural relaxation, with properties calculated at the GGA-PBE level.

```
data_Zn2B2Ir3
_chemical_formula_sum 'Zn2 B2 Ir3'
_space_group_name_H-M_alt 'P -1'
_space_group_IT_number 2
_cell_length_a 2.808
_cell_length_b 6.001
_cell_length_c 6.380
_cell_angle_alpha 111.49
_cell_angle_beta 102.67
_cell_angle_gamma 90.07
loop_
_space_group_symop_operation_xyz
'x,y,z'
'-x,-y,-z'
loop_
_atom_site_label
_atom_site_type_symbol
_atom_site_fract_x
_atom_site_fract_y
_atom_site_fract_z
Zn1 Zn 0.133 0.396 0.267
B1 B 0.135 0.000 0.271
Ir1 Ir 0.314 0.209 0.625
Ir2 Ir 0.500 0.000 0.000
```

Properties
Density in g/cm³: 12.5
Spin magnetization in μB per formula unit: 0.0
E in eV per atom: -6.19
E_form in eV/f.u.: -0.84

Below is ThIn2Ge2Pd7 after structural relaxation, with properties calculated at the GGA-PBE level.

```
data_ThIn2Ge2Pd7
_chemical_formula_sum 'Th2 In4 Ge4 Pd14'
_space_group_name_H-M_alt 'C 1 2/m 1'
_space_group_IT_number 12
_cell_length_a 5.813
_cell_length_b 5.706
_cell_length_c 14.468
_cell_angle_alpha 90.00
_cell_angle_beta 101.52
_cell_angle_gamma 90.00
loop_
_space_group_symop_operation_xyz
'x,y,z'
'-x,-y,-z'
'-x,y,-z'
'x,-y,z'
'x+1/2,y+1/2,z'
'-x+1/2,-y+1/2,-z'
'-x+1/2,y+1/2,-z'
'x+1/2,-y+1/2,z'
loop_
_atom_site_label
_atom_site_type_symbol
_atom_site_fract_x
_atom_site_fract_y
_atom_site_fract_z
Th1 Th 0.000 0.000 0.000
In1 In 0.108 0.000 0.389
Ge1 Ge 0.124 0.500 0.261
Pd1 Pd 0.000 0.500 0.000
Pd2 Pd 0.132 0.500 0.429
Pd3 Pd 0.172 0.248 0.845
```

Properties
Density in g/cm³: 9.5
Spin magnetization in μB per formula unit: 0.0
E in eV per atom: -5.36
E_form in eV/f.u.: -5.80

Below is Mo2HS2 after structural relaxation, with properties calculated at the GGA-PBE level.

```
data_Mo2HS2
_chemical_formula_sum 'Mo8 H4 S8'
_space_group_name_H-M_alt 'C 1 2/m 1'
_space_group_IT_number 12
_cell_length_a 10.434
_cell_length_b 4.624
_cell_length_c 6.594
_cell_angle_alpha 90.00
_cell_angle_beta 119.15
_cell_angle_gamma 90.00
loop_
_space_group_symop_operation_xyz
'x,y,z'
'-x,-y,-z'
'-x,y,-z'
'x,-y,z'
'x+1/2,y+1/2,z'
'-x+1/2,-y+1/2,-z'
'-x+1/2,y+1/2,-z'
'x+1/2,-y+1/2,z'
loop_
_atom_site_label
_atom_site_type_symbol
_atom_site_fract_x
_atom_site_fract_y
_atom_site_fract_z
Mo1 Mo 0.006 0.000 0.196
Mo2 Mo 0.160 0.500 0.523
H1 H 0.153 0.000 0.124
S1 S 0.076 0.500 0.821
S2 S 0.176 0.000 0.644
```

Properties
Density in g/cm³: 6.1
Spin magnetization in μB per formula unit: 0.0
E in eV per atom: -6.92

Below is Zn2PdPt5Rh after structural relaxation, with properties calculated at the GGA-PBE level.

```
data_Zn2PdPt5Rh
_chemical_formula_sum 'Zn8 Pd4 Pt20 Rh4'
_space_group_name_H-M_alt 'I 4/m c m'
_space_group_IT_number 140
_space_group_name_Hall '-I 4 2c'
_cell_length_a 6.188
_cell_length_b 6.188
_cell_length_c 15.081
_cell_angle_alpha 90.00
_cell_angle_beta 90.00
_cell_angle_gamma 90.00
loop_
_atom_site_label
_atom_site_type_symbol
_atom_site_fract_x
_atom_site_fract_y
_atom_site_fract_z
Zn1 Zn 0.129 0.371 0.000
Pd1 Pd 0.000 0.500 0.250
Pt1 Pt 0.000 0.000 0.000
Pt2 Pt 0.236 0.264 0.358
Rh1 Rh 0.000 0.000 0.250
```

Properties
Density in g/cm³: 15.1
Spin magnetization in μB per formula unit: 0.0
E in eV per atom: -4.90
E_form in eV/f.u.: 1.24

Below is Ca2AgPb2 after structural relaxation, with properties calculated at the GGA-PBE level.

```
data_Ca2AgPb2
_chemical_formula_sum 'Ca4 Ag2 Pb4'
_space_group_name_H-M_alt 'P 4/m b m'
_space_group_IT_number 127
_space_group_name_Hall '-P 4 2ab'
_cell_length_a 8.523
_cell_length_b 8.523
_cell_length_c 4.341
_cell_angle_alpha 90.00
_cell_angle_beta 90.00
_cell_angle_gamma 90.00
loop_
_atom_site_label
_atom_site_type_symbol
_atom_site_fract_x
_atom_site_fract_y
_atom_site_fract_z
Ca1 Ca 0.175 0.325 0.000
Ag1 Ag 0.000 0.000 0.000
Pb1 Pb 0.127 0.627 0.500
```

Properties
Density in g/cm³: 6.3
Spin magnetization in μB per formula unit: 0.0
E in eV per atom: -3.02
E_form in eV/f.u.: -0.83
Energy relative to the lowest polymorph listed for this composition in eV/f.u.: 1.28

Below is TbHo7Th2 after structural relaxation, with properties calculated at the GGA-PBE level.

```
data_TbHo7Th2
_chemical_formula_sum 'Tb2 Ho14 Th4'
_space_group_name_H-M_alt 'C m m m'
_space_group_IT_number 65
_space_group_name_Hall '-C 2 2'
_cell_length_a 8.669
_cell_length_b 16.631
_cell_length_c 5.476
_cell_angle_alpha 90.00
_cell_angle_beta 90.00
_cell_angle_gamma 90.00
loop_
_atom_site_label
_atom_site_type_symbol
_atom_site_fract_x
_atom_site_fract_y
_atom_site_fract_z
Tb1 Tb 0.000 0.000 0.000
Ho1 Ho 0.000 0.207 0.000
Ho2 Ho 0.000 0.500 0.500
Ho3 Ho 0.176 0.110 0.500
Th1 Th 0.000 0.295 0.500
```

Properties
Density in g/cm³: 7.5
Spin magnetization in μB per formula unit: 0.0
E in eV per atom: -4.38
E_form in eV/f.u.: 7.75
Energy relative to the lowest polymorph listed for this composition in eV/f.u.: 7.51

Below is PuZnAgO5 after structural relaxation, with properties calculated at the GGA-PBE level.

```
data_PuZnAgO5
_chemical_formula_sum 'Pu4 Zn4 Ag4 O20'
_space_group_name_H-M_alt 'C 1 2/c 1'
_space_group_IT_number 15
_cell_length_a 6.768
_cell_length_b 10.460
_cell_length_c 7.634
_cell_angle_alpha 90.00
_cell_angle_beta 108.66
_cell_angle_gamma 90.00
loop_
_space_group_symop_operation_xyz
'x,y,z'
'-x,-y,-z'
'-x,y,-z+1/2'
'x,-y,z+1/2'
'x+1/2,y+1/2,z'
'-x+1/2,-y+1/2,-z'
'-x+1/2,y+1/2,-z+1/2'
'x+1/2,-y+1/2,z+1/2'
loop_
_atom_site_label
_atom_site_type_symbol
_atom_site_fract_x
_atom_site_fract_y
_atom_site_fract_z
Pu1 Pu 0.250 0.250 0.000
Zn1 Zn 0.000 0.011 0.250
Ag1 Ag 0.000 0.497 0.750
O1 O 0.000 0.175 0.750
O2 O 0.050 0.345 0.058
O3 O 0.179 0.089 0.132
```

Properties
Density in g/cm³: 6.5
Spin magnetization in μB per formula unit: 1.0
E in eV per atom: -6.97
E_form (uncorrected) in eV/atom: -1.560

Below is ErHfIn6 after structural relaxation, with properties calculated at the GGA-PBE level.

```
data_ErHfIn6
_chemical_formula_sum 'Er1 Hf1 In6'
_space_group_name_H-M_alt 'P 4/m m m'
_space_group_IT_number 123
_space_group_name_Hall '-P 4 2'
_cell_length_a 4.564
_cell_length_b 4.564
_cell_length_c 9.100
_cell_angle_alpha 90.00
_cell_angle_beta 90.00
_cell_angle_gamma 90.00
loop_
_atom_site_label
_atom_site_type_symbol
_atom_site_fract_x
_atom_site_fract_y
_atom_site_fract_z
Er1 Er 0.000 0.000 0.000
Hf1 Hf 0.000 0.000 0.500
In1 In 0.000 0.500 0.257
In2 In 0.500 0.500 0.000
In3 In 0.500 0.500 0.500
```

Properties
Density in g/cm³: 9.1
Spin magnetization in μB per formula unit: 0.0
E in eV per atom: -4.08
E_form in eV/f.u.: -1.70